# 1
The following is a GGA-PBE calculation of PuAgRuRh after structural relaxation, from the Alexandria database.

Output
Raw total energy = -8.54 eV/atom
Crystal system = cubic

a b c (Å): 6.5261 6.5261 6.5261
angles (deg): 90.00 90.00 90.00
Element x y z (fractional)
1 Pu 0.0000 0.0000 0.0000
2 Pu 0.0000 0.5000 0.5000
3 Pu 0.5000 0.0000 0.5000
4 Pu 0.5000 0.5000 0.0000
5 Ag 0.0000 0.0000 0.5000
6 Ag 0.0000 0.5000 0.0000
7 Ag 0.5000 0.0000 0.0000
8 Ag 0.5000 0.5000 0.5000
9 Ru 0.2500 0.2500 0.7500
10 Ru 0.2500 0.7500 0.2500
11 Ru 0.7500 0.2500 0.2500
12 Ru 0.7500 0.7500 0.7500
13 Rh 0.2500 0.2500 0.2500
14 Rh 0.2500 0.7500 0.7500
15 Rh 0.7500 0.2500 0.7500
16 Rh 0.7500 0.7500 0.2500

---

# 2
The following is a GGA-PBE calculation of TmPuAgRh after structural relaxation, from the Alexandria database.

Output
Raw total energy = -7.58 eV/atom
Crystal system = cubic

a b c (Å): 7.0351 7.0351 7.0351
angles (deg): 90.00 90.00 90.00
Element x y z (fractional)
1 Tm 0.0000 0.0000 0.0000
2 Tm 0.0000 0.5000 0.5000
3 Tm 0.5000 0.0000 0.5000
4 Tm 0.5000 0.5000 0.0000
5 Pu 0.0000 0.0000 0.5000
6 Pu 0.0000 0.5000 0.0000
7 Pu 0.5000 0.0000 0.0000
8 Pu 0.5000 0.5000 0.5000
9 Ag 0.2500 0.2500 0.7500
10 Ag 0.2500 0.7500 0.2500
11 Ag 0.7500 0.2500 0.2500
12 Ag 0.7500 0.7500 0.7500
13 Rh 0.2500 0.2500 0.2500
14 Rh 0.2500 0.7500 0.7500
15 Rh 0.7500 0.2500 0.7500
16 Rh 0.7500 0.7500 0.2500

---

# 3
The following is a GGA-PBE calculation of YPuAgRh after structural relaxation, from the Alexandria database.

Output
Raw total energy = -8.06 eV/atom
Crystal system = cubic

a b c (Å): 7.0889 7.0889 7.0889
angles (deg): 90.00 90.00 90.00
Element x y z (fractional)
1 Y 0.0000 0.0000 0.0000
2 Y 0.0000 0.5000 0.5000
3 Y 0.5000 0.0000 0.5000
4 Y 0.5000 0.5000 0.0000
5 Pu 0.0000 0.0000 0.5000
6 Pu 0.0000 0.5000 0.0000
7 Pu 0.5000 0.0000 0.0000
8 Pu 0.5000 0.5000 0.5000
9 Ag 0.2500 0.2500 0.2500
10 Ag 0.2500 0.7500 0.7500
11 Ag 0.7500 0.2500 0.7500
12 Ag 0.7500 0.7500 0.2500
13 Rh 0.2500 0.2500 0.7500
14 Rh 0.2500 0.7500 0.2500
15 Rh 0.7500 0.2500 0.2500
16 Rh 0.7500 0.7500 0.7500

---

# 4
The following is a GGA-PBE calculation of PuZnAgRh after structural relaxation, from the Alexandria database.

Output
Raw total energy = -6.53 eV/atom
Crystal system = cubic

a b c (Å): 6.7204 6.7204 6.7204
angles (deg): 90.00 90.00 90.00
Element x y z (fractional)
1 Pu 0.0000 0.0000 0.0000
2 Pu 0.0000 0.5000 0.5000
3 Pu 0.5000 0.0000 0.5000
4 Pu 0.5000 0.5000 0.0000
5 Zn 0.0000 0.0000 0.5000
6 Zn 0.0000 0.5000 0.0000
7 Zn 0.5000 0.0000 0.0000
8 Zn 0.5000 0.5000 0.5000
9 Ag 0.2500 0.2500 0.7500
10 Ag 0.2500 0.7500 0.2500
11 Ag 0.7500 0.2500 0.2500
12 Ag 0.7500 0.7500 0.7500
13 Rh 0.2500 0.2500 0.2500
14 Rh 0.2500 0.7500 0.7500
15 Rh 0.7500 0.2500 0.7500
16 Rh 0.7500 0.7500 0.2500

---

# 5
The following is a GGA-PBE calculation of Pu2AgRu after structural relaxation, from the Alexandria database.

Output
Raw total energy = -10.30 eV/atom
Crystal system = tetragonal

a b c (Å): 3.2537 3.2537 8.1880
angles (deg): 90.00 90.00 90.00
Element x y z (fractional)
1 Pu 0.0000 0.0000 0.2168
2 Pu 0.0000 0.0000 0.7832
3 Ag 0.5000 0.5000 0.5000
4 Ru 0.5000 0.5000 0.0000

---

# 6
The following is a GGA-PBE calculation of Pu2AgRu after structural relaxation, from the Alexandria database.

Output
Raw total energy = -10.13 eV/atom
Crystal system = tetragonal

a b c (Å): 5.0976 5.0976 3.2992
angles (deg): 90.00 90.00 90.00
Element x y z (fractional)
1 Pu 0.0000 0.5000 0.0000
2 Pu 0.5000 0.0000 0.0000
3 Ag 0.0000 0.0000 0.5000
4 Ru 0.5000 0.5000 0.5000

---

# 7
The following is a GGA-PBE calculation of Pu2AgRu after structural relaxation, from the Alexandria database.

Output
Raw total energy = -9.90 eV/atom
Crystal system = trigonal

a b c (Å): 2.9360 2.9360 32.4067
angles (deg): 90.00 90.00 120.00
Element x y z (fractional)
1 Pu 0.0000 0.0000 0.0938
2 Pu 0.0000 0.0000 0.9062
3 Pu 0.3333 0.6667 0.5728
4 Pu 0.3333 0.6667 0.7605
5 Pu 0.6667 0.3333 0.2395
6 Pu 0.6667 0.3333 0.4272
7 Ag 0.0000 0.0000 0.0000
8 Ag 0.3333 0.6667 0.6667
9 Ag 0.6667 0.3333 0.3333
10 Ru 0.0000 0.0000 0.5000
11 Ru 0.3333 0.6667 0.1667
12 Ru 0.6667 0.3333 0.8333

---

# 8
The following is a GGA-PBE calculation of Pu6AgRu2 after structural relaxation, from the Alexandria database.

Output
Raw total energy = -11.62 eV/atom
Crystal system = trigonal

a b c (Å): 7.9945 7.9945 2.7351
angles (deg): 90.00 90.00 120.00
Element x y z (fractional)
1 Pu 0.0011 0.6480 0.0867
2 Pu 0.3520 0.3530 0.0867
3 Pu 0.3530 0.0011 0.9133
4 Pu 0.6470 0.9989 0.0867
5 Pu 0.6480 0.6470 0.9133
6 Pu 0.9989 0.3520 0.9133
7 Ag 0.0000 0.0000 0.5000
8 Ru 0.3333 0.6667 0.4945
9 Ru 0.6667 0.3333 0.5055